Below is a geometry-optimized LaSc2Tc structure, with properties calculated at the PBE-GGA level.

Structure (POSCAR):
```
LaSc2Tc
1.0
2.335 -2.341 0.000
2.335 2.341 0.000
0.000 0.000 8.798
La Sc Tc
1 2 1
Cartesian
0.000 0.000 0.000
2.335 0.000 2.874
2.335 0.000 5.924
0.000 0.000 4.399
```

Values from the calculation:
- energy of formation from the pure elements (eV per atom) = -0.092

***

Below is a geometry-optimized LaSc3Tc structure, with properties calculated at the PBE-GGA level.

Structure (POSCAR):
```
LaSc3Tc
1.0
5.115 0.000 0.000
0.000 5.115 0.000
0.000 0.000 5.115
La Sc Tc
1 3 1
Cartesian
0.000 0.000 0.000
0.000 2.558 2.558
2.558 0.000 2.558
2.558 2.558 0.000
2.558 2.558 2.558
```

Values from the calculation:
- energy of formation from the pure elements (eV per atom) = -0.011

***

Below is a geometry-optimized LaSc2Tc structure, with properties calculated at the PBE-GGA level.

Structure (POSCAR):
```
LaSc2Tc
1.0
4.253 0.000 0.000
0.000 4.253 0.000
0.000 0.000 4.962
La Sc Tc
1 2 1
Cartesian
0.000 0.000 0.000
0.000 2.127 2.481
2.127 0.000 2.481
2.127 2.127 0.000
```

Values from the calculation:
- energy of formation from the pure elements (eV per atom) = 0.185

***

Below is a geometry-optimized La2ScTc2 structure, with properties calculated at the PBE-GGA level.

Structure (POSCAR):
```
La2ScTc2
1.0
7.300 0.000 0.000
0.000 7.300 0.000
0.000 0.000 4.592
La Sc Tc
4 2 4
Cartesian
1.341 2.308 0.000
2.308 5.958 0.000
4.991 1.341 0.000
5.958 4.991 0.000
0.000 0.000 2.296
3.650 3.650 2.296
0.841 4.491 2.296
2.809 0.841 2.296
4.491 6.459 2.296
6.459 2.809 2.296
```

Values from the calculation:
- energy of formation from the pure elements (eV per atom) = 0.132

***

Below is a geometry-optimized LaSc2Tc structure, with properties calculated at the PBE-GGA level.

Structure (POSCAR):
```
LaSc2Tc
1.0
-2.499 2.499 3.555
2.499 -2.499 3.555
2.499 2.499 -3.555
La Sc Tc
1 2 1
Cartesian
0.000 0.000 0.000
2.499 0.000 1.778
0.000 0.000 3.555
0.000 2.499 1.778
```

Values from the calculation:
- energy of formation from the pure elements (eV per atom) = 0.136

***

Below is a geometry-optimized LaScTc2 structure, with properties calculated at the PBE-GGA level.

Structure (POSCAR):
```
LaScTc2
1.0
1.558 0.900 9.854
-1.558 0.900 9.854
0.000 -1.799 9.854
La Sc Tc
1 1 2
Cartesian
0.000 0.000 0.000
0.000 0.000 22.964
0.000 0.000 7.244
0.000 0.000 15.284
```

Values from the calculation:
- energy of formation from the pure elements (eV per atom) = 0.368

***

Below is a geometry-optimized La4ScTc structure, with properties calculated at the PBE-GGA level.

Structure (POSCAR):
```
La4ScTc
1.0
0.000 4.442 4.442
4.442 0.000 4.442
4.442 4.442 0.000
La Sc Tc
4 1 1
Cartesian
3.343 3.343 3.343
5.542 5.542 3.343
5.542 3.343 5.542
3.343 5.542 5.542
0.000 0.000 0.000
6.663 6.663 6.663
```

Values from the calculation:
- energy of formation from the pure elements (eV per atom) = 0.803

***

Below is a geometry-optimized La3ScTc structure, with properties calculated at the PBE-GGA level.

Structure (POSCAR):
```
La3ScTc
1.0
5.507 0.000 0.000
0.000 5.507 0.000
0.000 0.000 5.507
La Sc Tc
3 1 1
Cartesian
0.000 0.000 2.754
0.000 2.754 0.000
2.754 0.000 0.000
2.754 2.754 2.754
0.000 0.000 0.000
```

Values from the calculation:
- energy of formation from the pure elements (eV per atom) = 0.158

***

Below is a geometry-optimized LaScTc2 structure, with properties calculated at the PBE-GGA level.

Structure (POSCAR):
```
LaScTc2
1.0
1.675 -2.557 0.000
1.675 2.557 0.000
0.000 0.000 8.911
La Sc Tc
1 1 2
Cartesian
0.000 0.000 0.000
0.000 0.000 4.456
1.675 0.000 2.327
1.675 0.000 6.585
```

Values from the calculation:
- energy of formation from the pure elements (eV per atom) = 0.246

***

Below is a geometry-optimized LaScTc3 structure, with properties calculated at the PBE-GGA level.

Structure (POSCAR):
```
LaScTc3
1.0
4.758 0.000 0.000
0.000 4.758 0.000
0.000 0.000 4.758
La Sc Tc
1 1 3
Cartesian
0.000 0.000 0.000
2.379 2.379 2.379
0.000 0.000 2.379
0.000 2.379 0.000
2.379 0.000 0.000
```

Values from the calculation:
- energy of formation from the pure elements (eV per atom) = 1.622

***

Below is a geometry-optimized LaScTc2 structure, with properties calculated at the PBE-GGA level.

Structure (POSCAR):
```
LaScTc2
1.0
-1.672 2.409 5.075
1.672 -2.409 5.075
1.672 2.409 -5.075
La Sc Tc
1 1 2
Cartesian
0.000 0.000 0.000
1.672 0.000 2.781
0.000 0.000 5.557
0.000 2.409 2.416
```

Values from the calculation:
- energy of formation from the pure elements (eV per atom) = 0.127

***

Below is a geometry-optimized LaScTc structure, with properties calculated at the PBE-GGA level.

Structure (POSCAR):
```
LaScTc
1.0
0.000 2.430 6.166
2.419 0.000 6.166
2.419 2.430 0.000
La Sc Tc
1 1 1
Cartesian
0.000 0.000 0.000
2.419 2.430 9.112
2.419 2.430 4.363
```

Values from the calculation:
- energy of formation from the pure elements (eV per atom) = 0.005

***

Below is a geometry-optimized LaScTc3 structure, with properties calculated at the PBE-GGA level.

Structure (POSCAR):
```
LaScTc3
1.0
4.773 0.000 0.000
0.000 4.773 0.000
0.000 0.000 4.773
La Sc Tc
1 1 3
Cartesian
0.000 0.000 0.000
2.387 2.387 2.387
0.000 2.387 2.387
2.387 0.000 2.387
2.387 2.387 0.000
```

Values from the calculation:
- energy of formation from the pure elements (eV per atom) = 1.149

***

Below is a geometry-optimized LaSc2Tc structure, with properties calculated at the PBE-GGA level.

Structure (POSCAR):
```
LaSc2Tc
1.0
3.594 0.000 0.000
0.000 3.594 0.000
0.000 0.000 7.397
La Sc Tc
1 2 1
Cartesian
0.000 0.000 0.000
0.000 0.000 4.270
1.797 1.797 2.536
1.797 1.797 5.429
```

Values from the calculation:
- energy of formation from the pure elements (eV per atom) = 0.028

***

Below is a geometry-optimized LaSc2Tc structure, with properties calculated at the PBE-GGA level.

Structure (POSCAR):
```
LaSc2Tc
1.0
1.655 0.956 9.953
-1.655 0.956 9.953
0.000 -1.911 9.953
La Sc Tc
1 2 1
Cartesian
0.000 0.000 0.000
0.000 0.000 6.894
0.000 0.000 22.966
0.000 0.000 14.930
```

Values from the calculation:
- energy of formation from the pure elements (eV per atom) = 0.063

***

Below is a geometry-optimized LaSc2Tc structure, with properties calculated at the PBE-GGA level.

Structure (POSCAR):
```
LaSc2Tc
1.0
3.342 0.000 0.000
0.000 4.571 0.000
-1.626 0.000 5.956
La Sc Tc
1 2 1
Cartesian
0.000 0.000 0.000
0.099 2.286 4.218
1.617 2.286 1.738
-0.813 0.000 2.978
```

Values from the calculation:
- energy of formation from the pure elements (eV per atom) = 0.080

***

Below is a geometry-optimized LaScTc2 structure, with properties calculated at the PBE-GGA level.

Structure (POSCAR):
```
LaScTc2
1.0
-1.972 1.972 5.023
1.972 -1.972 5.023
1.972 1.972 -5.023
La Sc Tc
1 1 2
Cartesian
0.000 0.000 0.000
1.972 0.000 2.512
0.000 0.000 5.023
0.000 1.972 2.512
```

Values from the calculation:
- energy of formation from the pure elements (eV per atom) = 0.326

***

Below is a geometry-optimized LaScTc2 structure, with properties calculated at the PBE-GGA level.

Structure (POSCAR):
```
LaScTc2
1.0
3.132 0.000 0.000
0.000 3.132 0.000
0.000 0.000 8.617
La Sc Tc
1 1 2
Cartesian
0.000 0.000 0.000
1.566 1.566 3.140
0.000 0.000 4.952
1.566 1.566 6.340
```

Values from the calculation:
- energy of formation from the pure elements (eV per atom) = 0.013

***

Below is a geometry-optimized LaScTc2 structure, with properties calculated at the PBE-GGA level.

Structure (POSCAR):
```
LaScTc2
1.0
3.390 0.000 0.000
0.000 3.390 0.000
0.000 0.000 6.666
La Sc Tc
1 1 2
Cartesian
0.000 0.000 0.000
0.000 0.000 3.333
1.695 1.695 1.733
1.695 1.695 4.934
```

Values from the calculation:
- energy of formation from the pure elements (eV per atom) = 0.192

***

Below is a geometry-optimized LaScTc2 structure, with properties calculated at the PBE-GGA level.

Structure (POSCAR):
```
LaScTc2
1.0
-3.741 3.741 2.910
3.741 -3.741 2.910
3.741 3.741 -2.910
La Sc Tc
2 2 4
Cartesian
0.000 0.000 0.000
0.000 3.741 1.455
3.741 0.000 1.455
0.000 0.000 2.910
1.871 1.954 -0.728
5.528 1.871 0.728
1.871 1.787 2.183
-1.787 1.871 3.638
```

Values from the calculation:
- energy of formation from the pure elements (eV per atom) = 0.622

***

Number 1: uncorrected energy -28.32 eV per cell. Number 2: uncorrected energy -34.34 eV per cell. Number 3: uncorrected energy -27.22 eV per cell. Number 4: uncorrected energy -72.52 eV per cell. Number 5: uncorrected energy -27.41 eV per cell. Number 6: uncorrected energy -30.52 eV per cell. Number 7: uncorrected energy -31.59 eV per cell. Number 8: uncorrected energy -30.69 eV per cell. Number 9: uncorrected energy -31.01 eV per cell. Number 10: uncorrected energy -34.25 eV per cell. Number 11: uncorrected energy -31.48 eV per cell. Number 12: uncorrected energy -21.61 eV per cell. Number 13: uncorrected energy -36.61 eV per cell. Number 14: uncorrected energy -27.84 eV per cell. Number 15: uncorrected energy -27.70 eV per cell. Number 16: uncorrected energy -27.64 eV per cell. Number 17: uncorrected energy -30.69 eV per cell. Number 18: uncorrected energy -31.94 eV per cell. Number 19: uncorrected energy -31.22 eV per cell. Number 20: uncorrected energy -59.01 eV per cell.